Computed, not measured: La3Ag4Pb4 after structural relaxation at the PBE-GGA level of DFT.

```
La3Ag4Pb4
1.0
-2.4237 3.7958 8.0795
2.4237 -3.7958 8.0795
2.4237 3.7958 -8.0795
La Ag Pb
3 4 4
Direct
0.0000 0.0000 0.0000 La
0.3696 0.8696 0.5000 La
0.6304 0.1304 0.5000 La
0.0224 0.3310 0.6914 Ag
0.3603 0.6690 0.6914 Ag
0.6397 0.3310 0.3086 Ag
0.9776 0.6690 0.3086 Ag
0.2173 0.2173 0.0000 Pb
0.3005 0.5000 0.8005 Pb
0.6995 0.5000 0.1995 Pb
0.7827 0.7827 0.0000 Pb
```

total magnetization: 0.00 μB per atom
energy relative to the elements: -0.405 eV per atom